No. 1
First-principles (PBE-GGA) data for a geometry-optimized Sm3YHo5 structure, as listed in Alexandria via LeMat-Bulk.

```
Sm3YHo5
1.0
7.627 -5.668 0.000
7.627 5.668 0.000
-6.477 0.000 7.588
Sm Y Ho
6 2 10
direct
0.000 0.000 0.000
0.009 0.009 0.310
0.479 0.479 0.138
0.500 0.500 0.500
0.521 0.521 0.862
0.991 0.991 0.690
0.252 0.252 0.100
0.748 0.748 0.900
0.093 0.595 0.749
0.218 0.218 0.725
0.242 0.758 0.500
0.277 0.277 0.463
0.405 0.907 0.251
0.595 0.093 0.749
0.723 0.723 0.537
0.758 0.242 0.500
0.782 0.782 0.275
0.907 0.405 0.251
```

**Relative energy among the computed polymorphs**: 360 meV per atom
**Calculated formation energy**: 527.5 meV per atom
**N(E_F)**: 24.83 states/eV/cell
**VASP energy**: -4.307 eV per atom

***

No. 2
First-principles (PBE-GGA) data for a geometry-optimized ZnCr2Cl structure, as listed in Alexandria via LeMat-Bulk.

```
ZnCr2Cl
1.0
4.127 -1.517 0.000
4.127 1.517 0.000
-3.962 0.000 6.347
Zn Cr Cl
1 2 1
direct
0.000 0.000 0.000
0.366 0.366 0.184
0.634 0.634 0.816
0.000 0.000 0.500
```

**Relative energy among the computed polymorphs**: 214 meV per atom
**N(E_F)**: 2.31 states/eV/cell
**Formation energy from raw total energies**: 0.326 eV per atom
**VASP energy**: -5.265 eV per atom

***

No. 3
First-principles (PBE-GGA) data for a geometry-optimized LiBeF2 structure, as listed in Alexandria via LeMat-Bulk.

```
LiBeF2
1.0
1.513 0.873 5.284
-1.513 0.873 5.284
0.000 -1.747 5.284
Li Be F
1 1 2
direct
0.000 0.000 0.000
0.500 0.500 0.500
0.402 0.402 0.402
0.598 0.598 0.598
```

**Relative energy among the computed polymorphs**: 0 meV per atom
**N(E_F)**: 0.89 states/eV/cell
**Formation energy from raw total energies**: -2.204 eV per atom
**VASP energy**: -4.550 eV per atom

***

No. 4
First-principles (PBE-GGA) data for a geometry-optimized Tb3Tm3Mg structure, as listed in Alexandria via LeMat-Bulk.

```
Tb3Tm3Mg
1.0
3.053 1.763 13.802
-3.053 1.763 13.802
0.000 -3.525 13.802
Tb Tm Mg
6 6 2
direct
0.099 0.435 0.771
0.229 0.901 0.565
0.435 0.771 0.099
0.565 0.229 0.901
0.771 0.099 0.435
0.901 0.565 0.229
0.035 0.700 0.368
0.300 0.632 0.965
0.368 0.035 0.700
0.632 0.965 0.300
0.700 0.368 0.035
0.965 0.300 0.632
0.167 0.167 0.167
0.833 0.833 0.833
```

**Relative energy among the computed polymorphs**: 72 meV per atom
**Calculated formation energy**: 93.2 meV per atom
**N(E_F)**: 20.14 states/eV/cell
**VASP energy**: -4.035 eV per atom

***

No. 5
First-principles (PBE-GGA) data for a geometry-optimized MgIr5Rh4 structure, as listed in Alexandria via LeMat-Bulk.

```
MgIr5Rh4
1.0
4.290 0.000 0.000
0.074 5.076 0.000
0.049 1.139 7.174
Mg Ir Rh
1 5 4
direct
0.000 0.000 0.000
0.003 0.387 0.276
0.490 0.862 0.769
0.500 0.500 0.500
0.510 0.138 0.231
0.997 0.613 0.724
0.031 0.852 0.371
0.493 0.662 0.129
0.507 0.338 0.871
0.969 0.148 0.629
```

**Calculated formation energy**: 211.6 meV per atom
**N(E_F)**: 14.71 states/eV/cell
**VASP energy**: -7.319 eV per atom

***

No. 6
First-principles (PBE-GGA) data for a geometry-optimized HfSe3Br structure, as listed in Alexandria via LeMat-Bulk.

```
HfSe3Br
1.0
5.040 0.000 0.000
0.000 5.040 0.000
0.000 0.000 5.040
Hf Se Br
1 3 1
direct
0.000 0.000 0.000
0.000 0.500 0.500
0.500 0.000 0.500
0.500 0.500 0.000
0.500 0.500 0.500
```

**Relative energy among the computed polymorphs**: 1119 meV per atom
**N(E_F)**: 3.55 states/eV/cell
**Formation energy from raw total energies**: 0.839 eV per atom
**VASP energy**: -3.577 eV per atom

***

No. 7
First-principles (PBE-GGA) data for a geometry-optimized Pm2Cd15Au2 structure, as listed in Alexandria via LeMat-Bulk.

```
Pm2Cd15Au2
1.0
5.018 2.897 4.960
-5.018 2.897 4.960
0.000 -5.794 4.960
Pm Cd Au
2 15 2
direct
0.169 0.169 0.169
0.831 0.831 0.831
0.000 0.500 0.500
0.140 0.140 0.659
0.140 0.659 0.140
0.205 0.500 0.795
0.205 0.795 0.500
0.341 0.860 0.860
0.500 0.000 0.500
0.500 0.205 0.795
0.500 0.500 0.000
0.500 0.795 0.205
0.659 0.140 0.140
0.795 0.205 0.500
0.795 0.500 0.205
0.860 0.341 0.860
0.860 0.860 0.341
0.380 0.380 0.380
0.620 0.620 0.620
```

**Calculated formation energy**: -171.0 meV per atom
**N(E_F)**: 7.45 states/eV/cell
**VASP energy**: -1.738 eV per atom

***

No. 8
First-principles (PBE-GGA) data for a geometry-optimized ScCdFe2 structure, as listed in Alexandria via LeMat-Bulk.

```
ScCdFe2
1.0
-1.951 1.951 9.318
1.951 -1.951 9.318
1.951 1.951 -9.318
Sc Cd Fe
2 2 4
direct
0.000 0.000 0.000
0.750 0.250 0.500
0.250 0.750 0.500
0.500 0.500 0.000
0.109 0.625 0.984
0.375 0.359 0.484
0.641 0.125 0.016
0.875 0.891 0.516
```

**Calculated formation energy**: 519.8 meV per atom
**N(E_F)**: 6.77 states/eV/cell
**VASP energy**: -5.523 eV per atom